# 1
A relaxed CeGdPdAu crystal. Source: Alexandria, functional PBE.

Cell: 7.2336 7.2336 7.2336 Å, 90.00 90.00 90.00°
Sites, in units of the cell vectors:
Ce: 0.0000 0.0000 0.0000
Ce: 0.0000 0.5000 0.5000
Ce: 0.5000 0.0000 0.5000
Ce: 0.5000 0.5000 0.0000
Gd: 0.0000 0.0000 0.5000
Gd: 0.0000 0.5000 0.0000
Gd: 0.5000 0.0000 0.0000
Gd: 0.5000 0.5000 0.5000
Pd: 0.2500 0.2500 0.7500
Pd: 0.2500 0.7500 0.2500
Pd: 0.7500 0.2500 0.2500
Pd: 0.7500 0.7500 0.7500
Au: 0.2500 0.2500 0.2500
Au: 0.2500 0.7500 0.7500
Au: 0.7500 0.2500 0.7500
Au: 0.7500 0.7500 0.2500

Calculated values
* space-group type: F-43m
* E_form: -0.703 eV per atom
* total DFT energy (no corrections): -7.8238 eV per atom
* DOS(E_F): 8.343 states/eV/f.u.

# 2
A relaxed CeGdRuAu crystal. Source: Alexandria, functional PBE.

Cell: 7.1139 7.1139 7.1139 Å, 90.00 90.00 90.00°
Sites, in units of the cell vectors:
Ce: 0.0000 0.0000 0.0000
Ce: 0.0000 0.5000 0.5000
Ce: 0.5000 0.0000 0.5000
Ce: 0.5000 0.5000 0.0000
Gd: 0.0000 0.0000 0.5000
Gd: 0.0000 0.5000 0.0000
Gd: 0.5000 0.0000 0.0000
Gd: 0.5000 0.5000 0.5000
Ru: 0.2500 0.2500 0.7500
Ru: 0.2500 0.7500 0.2500
Ru: 0.7500 0.2500 0.2500
Ru: 0.7500 0.7500 0.7500
Au: 0.2500 0.2500 0.2500
Au: 0.2500 0.7500 0.7500
Au: 0.7500 0.2500 0.7500
Au: 0.7500 0.7500 0.2500

Calculated values
* space-group type: F-43m
* E_form: -0.452 eV per atom
* total DFT energy (no corrections): -8.5944 eV per atom
* DOS(E_F): 7.111 states/eV/f.u.

# 3
A relaxed CeGdSbAu crystal. Source: Alexandria, functional PBE.

Cell: 7.5155 7.5155 7.5155 Å, 90.00 90.00 90.00°
Sites, in units of the cell vectors:
Ce: 0.0000 0.0000 0.0000
Ce: 0.0000 0.5000 0.5000
Ce: 0.5000 0.0000 0.5000
Ce: 0.5000 0.5000 0.0000
Gd: 0.0000 0.0000 0.5000
Gd: 0.0000 0.5000 0.0000
Gd: 0.5000 0.0000 0.0000
Gd: 0.5000 0.5000 0.5000
Sb: 0.2500 0.2500 0.2500
Sb: 0.2500 0.7500 0.7500
Sb: 0.7500 0.2500 0.7500
Sb: 0.7500 0.7500 0.2500
Au: 0.2500 0.2500 0.7500
Au: 0.2500 0.7500 0.2500
Au: 0.7500 0.2500 0.2500
Au: 0.7500 0.7500 0.7500

Calculated values
* raw formation energy: -0.7783 eV per atom
* space-group type: F-43m
* total DFT energy (no corrections): -7.6320 eV per atom
* DOS(E_F): 11.104 states/eV/f.u.

# 4
A relaxed CeGdTcAu crystal. Source: Alexandria, functional PBE.

Cell: 7.1079 7.1079 7.1079 Å, 90.00 90.00 90.00°
Sites, in units of the cell vectors:
Ce: 0.0000 0.0000 0.0000
Ce: 0.0000 0.5000 0.5000
Ce: 0.5000 0.0000 0.5000
Ce: 0.5000 0.5000 0.0000
Gd: 0.0000 0.0000 0.5000
Gd: 0.0000 0.5000 0.0000
Gd: 0.5000 0.0000 0.0000
Gd: 0.5000 0.5000 0.5000
Tc: 0.2500 0.2500 0.7500
Tc: 0.2500 0.7500 0.2500
Tc: 0.7500 0.2500 0.2500
Tc: 0.7500 0.7500 0.7500
Au: 0.2500 0.2500 0.2500
Au: 0.2500 0.7500 0.7500
Au: 0.7500 0.2500 0.7500
Au: 0.7500 0.7500 0.2500

Calculated values
* space-group type: F-43m
* E_form: -0.280 eV per atom
* total DFT energy (no corrections): -8.6941 eV per atom
* DOS(E_F): 4.332 states/eV/f.u.

# 5
A relaxed CeGdTlAu crystal. Source: Alexandria, functional PBE.

Cell: 7.5474 7.5474 7.5474 Å, 90.00 90.00 90.00°
Sites, in units of the cell vectors:
Ce: 0.0000 0.0000 0.0000
Ce: 0.0000 0.5000 0.5000
Ce: 0.5000 0.0000 0.5000
Ce: 0.5000 0.5000 0.0000
Gd: 0.0000 0.0000 0.5000
Gd: 0.0000 0.5000 0.0000
Gd: 0.5000 0.0000 0.0000
Gd: 0.5000 0.5000 0.5000
Tl: 0.2500 0.2500 0.7500
Tl: 0.2500 0.7500 0.2500
Tl: 0.7500 0.2500 0.2500
Tl: 0.7500 0.7500 0.7500
Au: 0.2500 0.2500 0.2500
Au: 0.2500 0.7500 0.7500
Au: 0.7500 0.2500 0.7500
Au: 0.7500 0.7500 0.2500

Calculated values
* space-group type: F-43m
* E_form: -0.458 eV per atom
* total DFT energy (no corrections): -6.8725 eV per atom
* DOS(E_F): 11.342 states/eV/f.u.

# 6
A relaxed CeGeAu crystal. Source: Alexandria, functional PBE.

Cell: 3.9634 3.9634 8.8676 Å, 90.00 90.00 90.00°
Sites, in units of the cell vectors:
Ce: 0.0000 0.0000 0.0000
Ce: 0.5000 0.5000 0.5000
Ge: 0.0000 0.0000 0.6549
Ge: 0.5000 0.5000 0.1549
Au: 0.0000 0.0000 0.3357
Au: 0.5000 0.5000 0.8357

Calculated values
* space-group type: I4mm
* E_form: -0.408 eV per atom
* total DFT energy (no corrections): -5.0177 eV per atom
* DOS(E_F): 4.976 states/eV/f.u.

# 7
A relaxed CeGe6Au12 crystal. Source: Alexandria, functional PBE.

Cell: 7.3557 7.3557 7.3557 Å, 92.00 92.00 92.00°
Sites, in units of the cell vectors:
Ce: 0.0000 0.0000 0.0000
Ge: 0.1907 0.1907 0.6828
Ge: 0.1907 0.6828 0.1907
Ge: 0.3172 0.8093 0.8093
Ge: 0.6828 0.1907 0.1907
Ge: 0.8093 0.3172 0.8093
Ge: 0.8093 0.8093 0.3172
Au: 0.1361 0.5000 0.8639
Au: 0.1361 0.8639 0.5000
Au: 0.1774 0.4506 0.4506
Au: 0.4506 0.1774 0.4506
Au: 0.4506 0.4506 0.1774
Au: 0.5000 0.1361 0.8639
Au: 0.5000 0.8639 0.1361
Au: 0.5494 0.5494 0.8226
Au: 0.5494 0.8226 0.5494
Au: 0.8226 0.5494 0.5494
Au: 0.8639 0.1361 0.5000
Au: 0.8639 0.5000 0.1361

Calculated values
* space-group type: R-3m
* E_form: -0.029 eV per atom
* total DFT energy (no corrections): -3.8691 eV per atom
* DOS(E_F): 11.469 states/eV/f.u.

# 8
A relaxed CeGeAu crystal. Source: Alexandria, functional PBE.

Cell: 7.3705 4.5369 7.9117 Å, 90.00 90.00 90.00°
Sites, in units of the cell vectors:
Ce: 0.0019 0.2500 0.2082
Ce: 0.4981 0.7500 0.7082
Ce: 0.5019 0.2500 0.2918
Ce: 0.9981 0.7500 0.7918
Ge: 0.2159 0.7500 0.4059
Ge: 0.2841 0.2500 0.9059
Ge: 0.7159 0.7500 0.0941
Ge: 0.7841 0.2500 0.5941
Au: 0.1931 0.2500 0.5786
Au: 0.3069 0.7500 0.0786
Au: 0.6931 0.2500 0.9214
Au: 0.8069 0.7500 0.4214

Calculated values
* space-group type: Pnma
* E_form: -0.731 eV per atom
* total DFT energy (no corrections): -5.3403 eV per atom
* DOS(E_F): 5.317 states/eV/f.u.

# 9
A relaxed Ce5Ge5Au2 crystal. Source: Alexandria, functional PBE.

Cell: 7.9276 7.9276 11.2854 Å, 128.37 128.37 31.42°
Sites, in units of the cell vectors:
Ce: 0.0000 0.0000 0.0000
Ce: 0.3124 0.3124 0.3960
Ce: 0.3728 0.3728 0.2017
Ce: 0.6272 0.6272 0.7983
Ce: 0.6876 0.6876 0.6040
Ge: 0.0000 0.0000 0.5000
Ge: 0.0696 0.0696 0.3380
Ge: 0.3061 0.3061 0.8868
Ge: 0.6939 0.6939 0.1132
Ge: 0.9304 0.9304 0.6620
Au: 0.3837 0.3837 0.7359
Au: 0.6163 0.6163 0.2641

Calculated values
* space-group type: C2/m
* E_form: -0.685 eV per atom
* total DFT energy (no corrections): -5.6273 eV per atom
* DOS(E_F): 21.664 states/eV/f.u.

# 10
A relaxed Ce3Ge4Au2 crystal. Source: Alexandria, functional PBE.

Cell: 5.9974 5.9974 8.5142 Å, 102.46 102.46 43.41°
Sites, in units of the cell vectors:
Ce: 0.0000 0.0000 0.0000
Ce: 0.3342 0.3342 0.3279
Ce: 0.6658 0.6658 0.6721
Ge: 0.0754 0.0754 0.4116
Ge: 0.2699 0.2699 0.9401
Ge: 0.7301 0.7301 0.0599
Ge: 0.9246 0.9246 0.5884
Au: 0.4018 0.4018 0.7307
Au: 0.5982 0.5982 0.2693

Calculated values
* space-group type: C2/m
* E_form: -0.698 eV per atom
* total DFT energy (no corrections): -5.4566 eV per atom
* DOS(E_F): 18.487 states/eV/f.u.

# 11
A relaxed CeGe2Au3 crystal. Source: Alexandria, functional PBE.

Cell: 8.7915 8.7915 10.0903 Å, 103.72 103.72 29.74°
Sites, in units of the cell vectors:
Ce: 0.0000 0.0000 0.0000
Ce: 0.1729 0.1729 0.7055
Ce: 0.8271 0.8271 0.2945
Ge: 0.1905 0.1905 0.0985
Ge: 0.3425 0.3425 0.5255
Ge: 0.4746 0.4746 0.2203
Ge: 0.5254 0.5254 0.7797
Ge: 0.6575 0.6575 0.4745
Ge: 0.8095 0.8095 0.9015
Au: 0.0130 0.0130 0.3383
Au: 0.1912 0.1912 0.3665
Au: 0.3343 0.3343 0.0651
Au: 0.3777 0.3777 0.8111
Au: 0.5000 0.5000 0.5000
Au: 0.6223 0.6223 0.1889
Au: 0.6657 0.6657 0.9349
Au: 0.8088 0.8088 0.6335
Au: 0.9870 0.9870 0.6617

Calculated values
* space-group type: C2/m
* energy above the most stable polymorph in this dataset: 0.05 eV per formula unit
* E_form: -0.419 eV per atom
* total DFT energy (no corrections): -4.5853 eV per atom
* DOS(E_F): 7.107 states/eV/f.u.

# 12
A relaxed CeGe2Au crystal. Source: Alexandria, functional PBE.

Cell: 4.6774 11.1468 6.3378 Å, 90.00 90.00 90.00°
Sites, in units of the cell vectors:
Ce: 0.2500 0.1692 0.0000
Ce: 0.2500 0.6692 0.5000
Ce: 0.7500 0.3308 0.5000
Ce: 0.7500 0.8308 0.0000
Ge: 0.2500 0.1428 0.4991
Ge: 0.2500 0.4282 0.7615
Ge: 0.2500 0.6428 0.9991
Ge: 0.2500 0.9282 0.2615
Ge: 0.7500 0.0718 0.2615
Ge: 0.7500 0.3572 0.9991
Ge: 0.7500 0.5718 0.7615
Ge: 0.7500 0.8572 0.4991
Au: 0.2500 0.4206 0.2228
Au: 0.2500 0.9206 0.7228
Au: 0.7500 0.0794 0.7228
Au: 0.7500 0.5794 0.2228

Calculated values
* space-group type: Ama2
* E_form: -0.502 eV per atom
* total DFT energy (no corrections): -5.1130 eV per atom
* DOS(E_F): 4.066 states/eV/f.u.

Among the records above, which one has the lowest DOS(E_F)?
CeGe2Au

Repeat the tenth record exactly.
A relaxed Ce3Ge4Au2 crystal. Source: Alexandria, functional PBE.

Cell: 5.9974 5.9974 8.5142 Å, 102.46 102.46 43.41°
Sites, in units of the cell vectors:
Ce: 0.0000 0.0000 0.0000
Ce: 0.3342 0.3342 0.3279
Ce: 0.6658 0.6658 0.6721
Ge: 0.0754 0.0754 0.4116
Ge: 0.2699 0.2699 0.9401
Ge: 0.7301 0.7301 0.0599
Ge: 0.9246 0.9246 0.5884
Au: 0.4018 0.4018 0.7307
Au: 0.5982 0.5982 0.2693

Calculated values
* space-group type: C2/m
* E_form: -0.698 eV per atom
* total DFT energy (no corrections): -5.4566 eV per atom
* DOS(E_F): 18.487 states/eV/f.u.

The highest DOS(E_F) belongs to which entry?
Ce5Ge5Au2

Look up the DOS(E_F) of the second one.
7.111 states/eV/f.u.